(1)
This record from Alexandria describes a relaxed structure of LaTe2O. The functional is PBE-GGA.

## Properties
Raw formation energy, eV/atom: -0.171
Energy, eV/atom: -4.213
SG: R-3m (166)
Theoretical density, g/cm³: 7.21
Total magnetization, μB/f.u.: 0.0
DOS(E_F), states/eV/atom: 1.035

Unit cell a=8.844 b=8.844 c=8.844 alpha=23.22 beta=23.22 gamma=23.22
Sites, in units of the cell vectors:
La (0.000, 0.000, 0.000)
O (0.500, 0.500, 0.500)
Te (0.231, 0.231, 0.231)
Te (0.769, 0.769, 0.769)

***

(2)
This record from Alexandria describes a relaxed structure of LiPr3Ag4. The functional is PBE-GGA.

## Properties
Energy of formation from the pure elements, kJ per mole of atoms: -20
Energy, eV/atom: -3.667
SG: P4/mmm (123)
Theoretical density, g/cm³: 7.27
Total magnetization, μB/f.u.: 0.2
DOS(E_F), states/eV/atom: 0.792

Unit cell a=3.644 b=3.644 c=14.813 alpha=90.00 beta=90.00 gamma=90.00
Sites, in units of the cell vectors:
Pr (0.500, 0.500, 0.768)
Pr (0.500, 0.500, 0.232)
Ag (0.000, 0.000, 0.096)
Ag (0.000, 0.000, 0.633)
Ag (0.000, 0.000, 0.904)
Ag (0.000, 0.000, 0.367)
Li (0.500, 0.500, 0.000)
Pr (0.500, 0.500, 0.500)

***

(3)
This record from Alexandria describes a relaxed structure of PuCuHg. The functional is PBE-GGA.

## Properties
Energy of formation from the pure elements, kJ per mole of atoms: -5
Energy, eV/atom: -6.297
SG: P-6m2 (187)
Theoretical density, g/cm³: 13.42
Total magnetization, μB/f.u.: 5.6
DOS(E_F), states/eV/atom: 2.855

Unit cell a=3.118 b=4.825 c=4.825 alpha=120.00 beta=90.00 gamma=90.00
Site moments in Bohr magnetons follow the coordinates.
Sites, in units of the cell vectors:
Pu (0.667, 0.333, 0.667)  5.38
Hg (0.167, 0.000, 0.000)  0.00
Cu (0.167, 0.667, 0.333)  0.00